# Pm9Nd11Tm4

A relaxed structure of Pm9Nd11Tm4 (GGA-PBE, Alexandria).

Cell: 15.688 15.688 3.681 Å, 90.00 90.00 114.13°
Sites, in units of the cell vectors:
Pm  0.000  0.000  0.000
Pm  0.126  0.666  0.000
Pm  0.287  0.437  0.000
Pm  0.334  0.874  0.000
Pm  0.437  0.287  0.000
Pm  0.563  0.713  0.000
Pm  0.666  0.126  0.000
Pm  0.713  0.563  0.000
Pm  0.874  0.334  0.000
Nd  0.098  0.459  0.500
Nd  0.130  0.870  0.500
Nd  0.210  0.210  0.500
Nd  0.335  0.665  0.500
Nd  0.459  0.098  0.500
Nd  0.500  0.500  0.500
Nd  0.541  0.902  0.500
Nd  0.665  0.335  0.500
Nd  0.790  0.790  0.500
Nd  0.870  0.130  0.500
Nd  0.902  0.541  0.500
Tm  0.058  0.261  0.000
Tm  0.261  0.058  0.000
Tm  0.739  0.942  0.000
Tm  0.942  0.739  0.000

## Properties
Crystal system: orthorhombic
E_form, meV/atom: 54

***

# Pm7NdTm12

A relaxed structure of Pm7NdTm12 (GGA-PBE, Alexandria).

Cell: 9.694 9.694 9.694 Å, 109.47 109.47 109.47°
Sites, in units of the cell vectors:
Pm  0.000  0.000  0.500
Pm  0.000  0.500  0.000
Pm  0.000  0.500  0.500
Pm  0.500  0.000  0.000
Pm  0.500  0.000  0.500
Pm  0.500  0.500  0.000
Pm  0.500  0.500  0.500
Nd  0.000  0.000  0.000
Tm  0.000  0.251  0.749
Tm  0.000  0.749  0.251
Tm  0.251  0.000  0.749
Tm  0.251  0.251  0.501
Tm  0.251  0.501  0.251
Tm  0.251  0.749  0.000
Tm  0.499  0.749  0.749
Tm  0.501  0.251  0.251
Tm  0.749  0.000  0.251
Tm  0.749  0.251  0.000
Tm  0.749  0.499  0.749
Tm  0.749  0.749  0.499

## Properties
Crystal system: cubic
Relative energy among the computed polymorphs, eV per formula unit: 8.53
E_form, meV/atom: 659

***

# Pm6NdTm

A relaxed structure of Pm6NdTm (GGA-PBE, Alexandria).

Cell: 5.138 5.138 10.265 Å, 90.00 90.00 90.00°
Sites, in units of the cell vectors:
Pm  0.000  0.000  0.000
Pm  0.000  0.000  0.500
Pm  0.000  0.500  0.247
Pm  0.000  0.500  0.753
Pm  0.500  0.000  0.247
Pm  0.500  0.000  0.753
Nd  0.500  0.500  0.500
Tm  0.500  0.500  0.000

## Properties
Crystal system: tetragonal
E_form, meV/atom: 18

***

# PmNd6Tm12

A relaxed structure of PmNd6Tm12 (GGA-PBE, Alexandria).

Cell: 8.819 8.819 8.819 Å, 100.13 100.13 100.13°
Sites, in units of the cell vectors:
Pm  0.000  0.000  0.000
Nd  0.221  0.221  0.735
Nd  0.221  0.735  0.221
Nd  0.265  0.779  0.779
Nd  0.735  0.221  0.221
Nd  0.779  0.265  0.779
Nd  0.779  0.779  0.265
Tm  0.116  0.500  0.884
Tm  0.116  0.884  0.500
Tm  0.166  0.452  0.452
Tm  0.452  0.166  0.452
Tm  0.452  0.452  0.166
Tm  0.500  0.116  0.884
Tm  0.500  0.884  0.116
Tm  0.548  0.548  0.834
Tm  0.548  0.834  0.548
Tm  0.834  0.548  0.548
Tm  0.884  0.116  0.500
Tm  0.884  0.500  0.116

## Properties
Crystal system: trigonal
Relative energy among the computed polymorphs, eV per formula unit: 4.89
E_form, meV/atom: 477

***

# Pm3Nd3Tm8

A relaxed structure of Pm3Nd3Tm8 (GGA-PBE, Alexandria).

Cell: 9.703 9.703 9.703 Å, 146.16 113.20 77.03°
Sites, in units of the cell vectors:
Pm  0.000  0.000  0.000
Pm  0.189  0.689  0.500
Pm  0.811  0.311  0.500
Nd  0.195  0.500  0.695
Nd  0.500  0.500  0.000
Nd  0.805  0.500  0.305
Tm  0.118  0.280  0.838
Tm  0.238  0.897  0.340
Tm  0.442  0.280  0.162
Tm  0.443  0.103  0.340
Tm  0.557  0.897  0.660
Tm  0.558  0.720  0.838
Tm  0.762  0.103  0.660
Tm  0.882  0.720  0.162

## Properties
Crystal system: orthorhombic
E_form, meV/atom: 115

***

# Pm5Nd2Tm

A relaxed structure of Pm5Nd2Tm (GGA-PBE, Alexandria).

Cell: 7.274 14.576 5.128 Å, 90.00 90.00 90.00°
Sites, in units of the cell vectors:
Pm  0.000  0.000  0.000
Pm  0.001  0.251  0.000
Pm  0.250  0.376  0.500
Pm  0.250  0.876  0.500
Pm  0.499  0.751  0.000
Pm  0.500  0.500  0.000
Pm  0.501  0.249  0.000
Pm  0.750  0.124  0.500
Pm  0.750  0.624  0.500
Pm  0.999  0.749  0.000
Nd  0.249  0.624  0.500
Nd  0.251  0.124  0.500
Nd  0.749  0.876  0.500
Nd  0.751  0.376  0.500
Tm  0.000  0.500  0.000
Tm  0.500  0.000  0.000

## Properties
Crystal system: orthorhombic
Relative energy among the computed polymorphs, eV per formula unit: 0.00
E_form, meV/atom: 15

***

# Pm12NdTm5

A relaxed structure of Pm12NdTm5 (GGA-PBE, Alexandria).

Cell: 10.428 10.428 5.791 Å, 90.03 90.03 108.41°
Sites, in units of the cell vectors:
Pm  0.030  0.671  0.504
Pm  0.171  0.530  0.996
Pm  0.196  0.196  0.043
Pm  0.297  0.297  0.545
Pm  0.329  0.970  0.496
Pm  0.470  0.829  0.004
Pm  0.530  0.171  0.996
Pm  0.671  0.030  0.504
Pm  0.703  0.703  0.455
Pm  0.804  0.804  0.957
Pm  0.829  0.470  0.004
Pm  0.970  0.329  0.496
Nd  0.500  0.500  0.000
Tm  0.000  0.000  0.500
Tm  0.137  0.863  0.000
Tm  0.363  0.637  0.500
Tm  0.637  0.363  0.500
Tm  0.863  0.137  0.000

## Properties
Crystal system: monoclinic
E_form, meV/atom: 83

***

# Pm3Nd4Tm4

A relaxed structure of Pm3Nd4Tm4 (GGA-PBE, Alexandria).

Cell: 3.615 5.078 20.040 Å, 97.27 95.16 90.02°
Sites, in units of the cell vectors:
Pm  0.000  0.000  0.000
Pm  0.363  0.363  0.726
Pm  0.637  0.637  0.274
Nd  0.183  0.183  0.366
Nd  0.454  0.454  0.907
Nd  0.546  0.546  0.093
Nd  0.817  0.817  0.634
Tm  0.092  0.092  0.184
Tm  0.272  0.272  0.544
Tm  0.728  0.728  0.456
Tm  0.908  0.908  0.816

## Properties
Crystal system: triclinic
Relative energy among the computed polymorphs, eV per formula unit: 0.00
E_form, meV/atom: 14

***

# Pm12NdTm2

A relaxed structure of Pm12NdTm2 (GGA-PBE, Alexandria).

Cell: 6.779 6.779 24.977 Å, 93.41 93.41 116.39°
Sites, in units of the cell vectors:
Pm  0.029  0.596  0.701
Pm  0.080  0.545  0.828
Pm  0.126  0.660  0.056
Pm  0.167  0.167  0.078
Pm  0.184  0.184  0.665
Pm  0.200  0.758  0.572
Pm  0.242  0.800  0.428
Pm  0.340  0.874  0.944
Pm  0.352  0.352  0.379
Pm  0.370  0.370  0.925
Pm  0.404  0.971  0.299
Pm  0.455  0.920  0.172
Pm  0.545  0.080  0.828
Pm  0.596  0.029  0.701
Pm  0.630  0.630  0.075
Pm  0.648  0.648  0.621
Pm  0.660  0.126  0.056
Pm  0.758  0.200  0.572
Pm  0.800  0.242  0.428
Pm  0.816  0.816  0.335
Pm  0.833  0.833  0.922
Pm  0.874  0.340  0.944
Pm  0.920  0.455  0.172
Pm  0.971  0.404  0.299
Nd  0.259  0.259  0.516
Nd  0.741  0.741  0.484
Tm  0.037  0.037  0.794
Tm  0.447  0.447  0.225
Tm  0.553  0.553  0.775
Tm  0.963  0.963  0.206

## Properties
Crystal system: monoclinic
E_form, meV/atom: 104

***

# PmNd2Tm6

A relaxed structure of PmNd2Tm6 (GGA-PBE, Alexandria).

Cell: 9.675 9.675 3.524 Å, 90.00 90.00 120.00°
Sites, in units of the cell vectors:
Pm  0.000  0.000  0.000
Nd  0.333  0.667  0.762
Nd  0.667  0.333  0.238
Tm  0.022  0.672  0.269
Tm  0.328  0.350  0.269
Tm  0.350  0.022  0.731
Tm  0.650  0.978  0.269
Tm  0.672  0.650  0.731
Tm  0.978  0.328  0.731

## Properties
Crystal system: trigonal
Relative energy among the computed polymorphs, eV per formula unit: 0.00
E_form, meV/atom: 74

***

# PmNd4Tm7

A relaxed structure of PmNd4Tm7 (GGA-PBE, Alexandria).

Cell: 6.727 6.727 12.752 Å, 114.85 114.85 51.68°
Sites, in units of the cell vectors:
Pm  0.000  0.000  0.000
Nd  0.222  0.222  0.666
Nd  0.364  0.364  0.223
Nd  0.636  0.636  0.777
Nd  0.778  0.778  0.334
Tm  0.070  0.070  0.313
Tm  0.211  0.211  0.923
Tm  0.368  0.368  0.505
Tm  0.500  0.500  0.000
Tm  0.632  0.632  0.495
Tm  0.789  0.789  0.077
Tm  0.930  0.930  0.687

## Properties
Crystal system: monoclinic
Relative energy among the computed polymorphs, eV per formula unit: 2.85
E_form, meV/atom: 261

***

# Pm3Nd5Tm3

A relaxed structure of Pm3Nd5Tm3 (GGA-PBE, Alexandria).

Cell: 11.355 11.355 3.465 Å, 90.00 90.00 120.00°
Sites, in units of the cell vectors:
Pm  0.000  0.403  0.000
Pm  0.403  0.000  0.000
Pm  0.597  0.597  0.000
Nd  0.000  0.663  0.500
Nd  0.333  0.667  0.500
Nd  0.337  0.337  0.500
Nd  0.663  0.000  0.500
Nd  0.667  0.333  0.500
Tm  0.000  0.159  0.500
Tm  0.159  0.000  0.500
Tm  0.841  0.841  0.500

## Properties
Crystal system: hexagonal
Relative energy among the computed polymorphs, eV per formula unit: 0.00
E_form, meV/atom: 315